(1)
First-principles (PBE-GGA) data for a geometry-optimized SrSmTm structure, as listed in OQMD.

## Properties
Polymorph energy (0 for the lowest one) in eV per formula unit: 0.000

a = 8.0975 Å, b = 8.0975 Å, c = 8.0975 Å
α = 90.00°, β = 90.00°, γ = 90.00°
With the nearest neighbours (Å) after each atom.
Space group F-43m (No. 216)
Symmetry-distinct sites (fractional):
Sr (0.0000, 0.0000, 0.0000) x4  4 Tm 3.51
Sm (0.0000, 0.0000, 0.5000) x4  4 Tm 3.51
Tm (0.2500, 0.2500, 0.7500) x4  4 Sr 3.51, 4 Sm 3.51



(2)
First-principles (PBE-GGA) data for a geometry-optimized SrSmZn4 structure, as listed in OQMD.

## Properties
Uncorrected energy in eV per atom: -2.198

a = 4.5829 Å, b = 7.5207 Å, c = 7.7133 Å
α = 90.00°, β = 90.00°, γ = 90.00°
With the nearest neighbours (Å) after each atom.
Space group Imm2 (No. 44)
Symmetry-distinct sites (fractional):
Sr (0.0000, 0.0000, 0.0000) x2  12 Zn 3.14-3.40
Sm (0.0000, 0.5000, 0.0731) x2  12 Zn 3.11-3.33
Zn (0.0000, 0.1916, 0.3757) x4  4 Zn 2.63-2.88
Zn (0.0000, 0.2905, 0.7080) x4  3 Zn 2.63-2.67



(3)
First-principles (PBE-GGA) data for a geometry-optimized SmTa structure, as listed in OQMD.

## Properties
DFT formation energy in meV/atom: 2732
Polymorph energy (0 for the lowest one) in eV per formula unit: 4.252

a = 6.4551 Å, b = 6.4551 Å, c = 6.4551 Å
α = 90.00°, β = 90.00°, γ = 90.00°
With the nearest neighbours (Å) after each atom.
Space group F-43m (No. 216)
Symmetry-distinct sites (fractional):
Sm (0.0000, 0.0000, 0.0000) x4  4 Ta 2.80
Ta (0.2500, 0.2500, 0.7500) x4  4 Sm 2.80



(4)
First-principles (PBE-GGA) data for a geometry-optimized SmTa structure, as listed in OQMD.

## Properties
DFT formation energy in meV/atom: 606
Polymorph energy (0 for the lowest one) in eV per formula unit: 0.000

a = 3.1752 Å, b = 3.1752 Å, c = 5.4257 Å
α = 90.00°, β = 90.00°, γ = 120.00°
With the nearest neighbours (Å) after each atom.
Space group P-6m2 (No. 187)
Symmetry-distinct sites (fractional):
Sm (0.0000, 0.0000, 0.0000) x1  6 Sm 3.18, 6 Ta 3.27
Ta (0.6667, 0.3333, 0.5000) x1  6 Ta 3.18, 6 Sm 3.27



(5)
First-principles (PBE-GGA) data for a geometry-optimized SmTa structure, as listed in OQMD.

## Properties
DFT formation energy in meV/atom: 1536
Polymorph energy (0 for the lowest one) in eV per formula unit: 1.862

a = 5.9766 Å, b = 5.9766 Å, c = 5.9766 Å
α = 90.00°, β = 90.00°, γ = 90.00°
With the nearest neighbours (Å) after each atom.
Space group Fm-3m (No. 225)
Symmetry-distinct sites (fractional):
Sm (0.0000, 0.0000, 0.0000) x4  6 Ta 2.99
Ta (0.0000, 0.0000, 0.5000) x4  6 Sm 2.99



(6)
First-principles (PBE-GGA) data for a geometry-optimized SmThTa structure, as listed in OQMD.

## Properties
DFT formation energy in meV/atom: 1265

a = 7.0754 Å, b = 7.0754 Å, c = 7.0754 Å
α = 90.00°, β = 90.00°, γ = 90.00°
With the nearest neighbours (Å) after each atom.
Space group F-43m (No. 216)
Symmetry-distinct sites (fractional):
Sm (0.0000, 0.0000, 0.0000) x4  4 Th 3.06, 4 Ta 3.06
Th (0.2500, 0.2500, 0.2500) x4  4 Sm 3.06
Ta (0.2500, 0.2500, 0.7500) x4  4 Sm 3.06



(7)
First-principles (PBE-GGA) data for a geometry-optimized SmTaTl structure, as listed in OQMD.

## Properties
Polymorph energy (0 for the lowest one) in eV per formula unit: 1.282

a = 7.1382 Å, b = 7.1382 Å, c = 7.1382 Å
α = 90.00°, β = 90.00°, γ = 90.00°
With the nearest neighbours (Å) after each atom.
Space group F-43m (No. 216)
Symmetry-distinct sites (fractional):
Sm (0.0000, 0.0000, 0.0000) x4  4 Tl 3.09, 4 Ta 3.09
Ta (0.2500, 0.2500, 0.7500) x4  4 Sm 3.09
Tl (0.2500, 0.2500, 0.2500) x4  4 Sm 3.09



(8)
First-principles (PBE-GGA) data for a geometry-optimized SmTaTl structure, as listed in OQMD.

## Properties
Polymorph energy (0 for the lowest one) in eV per formula unit: 0.000

a = 6.9337 Å, b = 6.9337 Å, c = 6.9337 Å
α = 90.00°, β = 90.00°, γ = 90.00°
With the nearest neighbours (Å) after each atom.
Space group F-43m (No. 216)
Symmetry-distinct sites (fractional):
Sm (0.0000, 0.0000, 0.0000) x4  4 Tl 3.00
Ta (0.0000, 0.0000, 0.5000) x4  4 Tl 3.00
Tl (0.2500, 0.2500, 0.2500) x4  4 Ta 3.00, 4 Sm 3.00



(9)
First-principles (PBE-GGA) data for a geometry-optimized SmTmTa structure, as listed in OQMD.

## Properties
DFT formation energy in meV/atom: 1273
Polymorph energy (0 for the lowest one) in eV per formula unit: 0.000

a = 7.0739 Å, b = 7.0739 Å, c = 7.0739 Å
α = 90.00°, β = 90.00°, γ = 90.00°
With the nearest neighbours (Å) after each atom.
Space group F-43m (No. 216)
Symmetry-distinct sites (fractional):
Sm (0.0000, 0.0000, 0.0000) x4  4 Tm 3.06
Tm (0.2500, 0.2500, 0.2500) x4  4 Ta 3.06, 4 Sm 3.06
Ta (0.0000, 0.0000, 0.5000) x4  4 Tm 3.06



(10)
First-principles (PBE-GGA) data for a geometry-optimized SmTaW structure, as listed in OQMD.

## Properties
DFT formation energy in meV/atom: 844
Polymorph energy (0 for the lowest one) in eV per formula unit: 0.000

a = 6.5677 Å, b = 6.5677 Å, c = 6.5677 Å
α = 90.00°, β = 90.00°, γ = 90.00°
With the nearest neighbours (Å) after each atom.
Space group F-43m (No. 216)
Symmetry-distinct sites (fractional):
Sm (0.0000, 0.0000, 0.0000) x4  4 W 2.84
Ta (0.0000, 0.0000, 0.5000) x4  4 W 2.84
W (0.2500, 0.2500, 0.2500) x4  4 Sm 2.84, 4 Ta 2.84



(11)
First-principles (PBE-GGA) data for a geometry-optimized SmTaW structure, as listed in OQMD.

## Properties
DFT formation energy in meV/atom: 1992
Polymorph energy (0 for the lowest one) in eV per formula unit: 3.444

a = 6.5494 Å, b = 6.5494 Å, c = 6.5494 Å
α = 90.00°, β = 90.00°, γ = 90.00°
With the nearest neighbours (Å) after each atom.
Space group F-43m (No. 216)
Symmetry-distinct sites (fractional):
Sm (0.0000, 0.0000, 0.0000) x4  4 Ta 2.84, 4 W 2.84
Ta (0.2500, 0.2500, 0.7500) x4  4 Sm 2.84
W (0.2500, 0.2500, 0.2500) x4  4 Sm 2.84



(12)
First-principles (PBE-GGA) data for a geometry-optimized SmYTa structure, as listed in OQMD.

## Properties
DFT formation energy in meV/atom: 1333
Polymorph energy (0 for the lowest one) in eV per formula unit: 0.000

a = 7.1157 Å, b = 7.1157 Å, c = 7.1157 Å
α = 90.00°, β = 90.00°, γ = 90.00°
With the nearest neighbours (Å) after each atom.
Space group F-43m (No. 216)
Symmetry-distinct sites (fractional):
Sm (0.0000, 0.0000, 0.0000) x4  4 Ta 3.08, 4 Y 3.08
Y (0.2500, 0.2500, 0.2500) x4  4 Sm 3.08
Ta (0.2500, 0.2500, 0.7500) x4  4 Sm 3.08